1.
Material: Cu7Ir
Method: DFT, SCAN
State: PBEsol geometry

Cell: 7.218 7.218 7.218 Å, 90.00 90.00 90.00°
Space group Fm-3m (No. 225)
Inequivalent atoms, fractional coordinates:
Cu  0.000  0.000  0.000 (multiplicity 4)
Cu  0.000  0.250  0.250 (multiplicity 24)
Ir  0.000  0.000  0.500 (multiplicity 4)

Formation energy from the elements ... 23.6 meV/atom

---

2.
Material: Cr3C
Method: DFT, SCAN
State: PBEsol geometry

Cell: 5.322 5.322 5.322 Å, 90.00 90.00 90.00°
Space group Fm-3m (No. 225)
Inequivalent atoms, fractional coordinates:
Cr  0.000  0.000  0.000 (multiplicity 4)
Cr  0.250  0.250  0.250 (multiplicity 8)
C  0.000  0.000  0.500 (multiplicity 4)

Formation energy from the elements ... 763.3 meV/atom
E above lowest polymorph ... 0.8162 eV/atom

---

3.
Material: BaTl2Te
Method: DFT, SCAN
State: PBEsol geometry

Cell: 4.927 4.927 5.291 Å, 90.00 90.00 90.00°
Space group P4/mmm (No. 123)
Inequivalent atoms, fractional coordinates:
Ba  0.000  0.000  0.000 (multiplicity 1)
Tl  0.000  0.500  0.500 (multiplicity 2)
Te  0.500  0.500  0.000 (multiplicity 1)

Formation energy without anion corrections ... -0.726 eV per atom

---

4.
Material: MnAlBr2
Method: DFT, SCAN
State: PBEsol geometry

Cell: 3.503 3.428 7.426 Å, 90.00 103.63 90.00°
Space group Pm (No. 6)
Inequivalent atoms, fractional coordinates:
Mn  0.000  0.000  0.000 (multiplicity 1)
Al  0.541  0.500  0.083 (multiplicity 1)
Br  0.169  0.000  0.333 (multiplicity 1)
Br  0.875  0.500  0.749 (multiplicity 1)

E above lowest polymorph ... 0.2474 eV/atom
Formation energy without anion corrections ... -0.340 eV per atom

---

The records above give, respectively, density values of 11.25 7.40 8.71 4.63 g/cm³.
The records above give, respectively, M_tot values of 0.0 7.6 0.0 2.7 μB/cell.